Computed, not measured: an optimized crystal structure of CrAsW2S at the GGA-PBEsol level of DFT.

```
data_CrAsW2S
_chemical_formula_sum 'Cr1 As1 W2 S1'
_symmetry_space_group_name_H-M 'P 4/m m m'
_symmetry_Int_Tables_number 123
_symmetry_space_group_name_Hall '-P 4 2'
_cell_length_a 4.356
_cell_length_b 4.356
_cell_length_c 4.793
_cell_angle_alpha 90.00
_cell_angle_beta 90.00
_cell_angle_gamma 90.00
loop_
_atom_site_label
_atom_site_fract_x
_atom_site_fract_y
_atom_site_fract_z
Cr1 0.000 0.000 0.000
As1 0.500 0.500 0.000
W1 0.000 0.500 0.500
S1 0.500 0.500 0.500
```

## Properties
DOS at the Fermi energy, states/eV/cell: 4.50
Formation energy without anion corrections, eV per formula unit: 6.7